(1)
YFePd2Se: optimized geometry, GGA-PBE. Values from VASP.

```
&SYSTEM
  ibrav = 0, nat = 5, ntyp = 4
/
ATOMIC_SPECIES
Y 88.91 Y.upf
Fe 55.84 Fe.upf
Pd 106.42 Pd.upf
Se 78.96 Se.upf
ATOMIC_POSITIONS angstrom
Y 0.000 0.000 0.000
Fe 2.523 2.523 2.645
Pd 0.000 2.523 0.000
Pd 2.523 0.000 0.000
Se 0.000 0.000 2.645
CELL_PARAMETERS angstrom
5.045 0.000 0.000
0.000 5.045 0.000
0.000 0.000 5.290
```

energy relative to the elements, uncorrected: 0.734 eV per atom
crystal system: tetragonal

=====

(2)
K2TaRuO6: optimized geometry, GGA-PBE. Values from VASP.

```
&SYSTEM
  ibrav = 0, nat = 10, ntyp = 4
/
ATOMIC_SPECIES
K 39.10 K.upf
Ta 180.95 Ta.upf
Ru 101.07 Ru.upf
O 16.00 O.upf
ATOMIC_POSITIONS angstrom
K 1.989 1.989 1.989
K 5.968 5.968 5.968
Ta 0.000 0.000 0.000
Ru 3.979 3.979 3.979
O 3.979 3.979 2.003
O 3.979 2.003 3.979
O 5.955 3.979 3.979
O 2.003 3.979 3.979
O 3.979 5.955 3.979
O 3.979 3.979 5.955
CELL_PARAMETERS angstrom
0.000 3.979 3.979
3.979 0.000 3.979
3.979 3.979 0.000
```

energy relative to the elements, uncorrected: -1.890 eV per atom
crystal system: cubic

=====

(3)
Ac3Zn2Ag7: optimized geometry, GGA-PBE. Values from VASP.

```
&SYSTEM
  ibrav = 0, nat = 12, ntyp = 3
/
ATOMIC_SPECIES
Ac 227.00 Ac.upf
Zn 65.41 Zn.upf
Ag 107.87 Ag.upf
ATOMIC_POSITIONS angstrom
Ac 0.000 0.000 0.000
Ac 0.348 2.277 8.702
Ac 2.790 2.277 4.785
Zn 0.064 0.000 3.504
Zn 3.073 0.000 9.984
Ag 0.633 2.277 2.292
Ag 0.353 0.000 6.084
Ag 0.610 0.000 11.243
Ag 2.442 2.277 0.000
Ag 2.528 0.000 2.244
Ag 2.785 0.000 7.404
Ag 2.505 2.277 11.195
CELL_PARAMETERS angstrom
4.884 0.000 0.000
0.000 4.554 0.000
-1.746 0.000 13.487
```

E_form: -212.4 meV/atom
crystal system: monoclinic

=====

| no. | E (eV/atom) | DOS at the Fermi energy (states/eV per atom) |
| --- | --- | --- |
| 1 | -5.0258 | 1.15 |
| 2 | -7.1970 | 0.46 |
| 3 | -3.1150 | 0.50 |